1.
The following is a meta-GGA SCAN calculation of a PBEsol-optimized structure of Be2NiSb, from Alexandria.

## Properties
Space-group type ... P4mm, No. 99
VASP energy ... -15.2886 eV per atom
Formation energy without anion corrections ... 247 meV per atom

Lattice parameters (Å, degrees): 3.0497 3.0497 5.5905 90.00 90.00 90.00
With the nearest neighbours (Å) after each atom.
Fractional positions:
Sb: 0.5000 0.5000 0.7497  6 Be 2.74-2.85, 4 Ni 2.80, 4 Sb 3.05
Be: 0.0000 0.0000 0.0595  1 Ni 2.07
Be: 0.5000 0.5000 0.2603  4 Ni 2.36, 4 Be 2.43
Ni: 0.0000 0.0000 0.4305  1 Be 2.07



2.
The following is a meta-GGA SCAN calculation of a PBEsol-optimized structure of Re2SbO6, from Alexandria.

## Properties
Space-group type ... C2/c, No. 15
VASP energy ... -25.6244 eV per atom
Formation energy without anion corrections ... -1531 meV per atom

Lattice parameters (Å, degrees): 4.9259 5.5045 8.3821 91.50 107.09 90.00
With the nearest neighbours (Å) after each atom.
Fractional positions:
Re: 0.0531 0.6093 0.6385  6 O 1.92-2.03
Re: 0.4146 0.8907 0.3615  6 O 1.92-2.03
Re: 0.9469 0.3907 0.3615  6 O 1.92-2.03
Re: 0.5854 0.1093 0.6385  6 O 1.92-2.03
Sb: 0.2979 0.2500 0.0000  4 O 2.04-2.19
Sb: 0.7021 0.7500 0.0000  4 O 2.04-2.19
O: 0.3435 0.5732 0.8619  1 Re 2.01, 2 Sb 2.04-2.19
O: 0.4816 0.9268 0.1381  1 Re 2.01, 2 Sb 2.04-2.19
O: 0.6565 0.4268 0.1381  1 Re 2.01, 2 Sb 2.04-2.19
O: 0.5184 0.0732 0.8619  1 Re 2.01, 2 Sb 2.04-2.19
O: 0.8368 0.3821 0.7230  2 Re 1.92-1.93
O: 0.1138 0.1179 0.2770  2 Re 1.92-1.93
O: 0.3030 0.8309 0.5679  3 Re 1.95-2.03
O: 0.7351 0.6691 0.4321  3 Re 1.95-2.03
O: 0.6970 0.1691 0.4321  3 Re 1.95-2.03
O: 0.2649 0.3309 0.5679  3 Re 1.95-2.03
O: 0.8862 0.8821 0.7230  2 Re 1.92-1.93
O: 0.1632 0.6179 0.2770  2 Re 1.92-1.93



3.
The following is a meta-GGA SCAN calculation of a PBEsol-optimized structure of Ba4Nd2Cu6O13, from Alexandria.

## Properties
Space-group type ... Fmmm, No. 69
VASP energy ... -18.7608 eV per atom
Formation energy without anion corrections ... -2058 meV per atom

Lattice parameters (Å, degrees): 5.4832 5.4832 12.3878 102.58 102.58 90.89
With the nearest neighbours (Å) after each atom.
Fractional positions:
Ba: 0.1637 0.1637 0.8116  9 O 2.71-2.94
Ba: 0.6479 0.6479 0.8116  9 O 2.71-2.94
Ba: 0.8363 0.8363 0.1884  9 O 2.71-2.94
Ba: 0.3521 0.3521 0.1884  9 O 2.71-2.94
Nd: 0.0000 0.0000 0.5000  8 O 2.44-2.47
Nd: 0.5000 0.5000 0.5000  8 O 2.44-2.47
Cu: 0.5745 0.0712 0.6458  4 O 1.93-1.97
Cu: 0.0712 0.5745 0.6458  4 O 1.93-1.97
Cu: 0.4255 0.9288 0.3542  4 O 1.93-1.97
Cu: 0.9288 0.4255 0.3542  4 O 1.93-1.97
Cu: 0.2599 0.7401 0.0000  3 O 1.81-1.88
Cu: 0.7401 0.2599 0.0000  3 O 1.81-1.88
O: 0.6946 0.1533 0.8479  1 Cu 1.81
O: 0.1533 0.6946 0.8479  1 Cu 1.81
O: 0.3054 0.8467 0.1521  1 Cu 1.81
O: 0.8467 0.3054 0.1521  1 Cu 1.81
O: 0.3142 0.8142 0.6284  2 Cu 1.93
O: 0.8142 0.3142 0.6284  2 Cu 1.93
O: 0.3156 0.3156 0.6312  2 Cu 1.97
O: 0.8138 0.8138 0.6276  2 Cu 1.95
O: 0.1858 0.6858 0.3716  2 Cu 1.93
O: 0.6858 0.1858 0.3716  2 Cu 1.93
O: 0.1862 0.1862 0.3724  2 Cu 1.95
O: 0.6844 0.6844 0.3688  2 Cu 1.97
O: 0.5000 0.5000 0.0000  2 Cu 1.88



4.
The following is a meta-GGA SCAN calculation of a PBEsol-optimized structure of ScSe2S, from Alexandria.

## Properties
Space-group type ... R-3m, No. 166
VASP energy ... -15.7375 eV per atom
Formation energy without anion corrections ... 268 meV per atom

Lattice parameters (Å, degrees): 3.4712 3.4712 8.6545 78.43 78.43 60.00
With the nearest neighbours (Å) after each atom.
Fractional positions:
Sc: 0.0000 0.0000 0.0000  2 Se 2.56
S: 0.5000 0.5000 0.5000  6 Se 2.59
Se: 0.8986 0.8986 0.3043  1 Sc 2.56, 3 S 2.59
Se: 0.1014 0.1014 0.6957  1 Sc 2.56, 3 S 2.59



5.
The following is a meta-GGA SCAN calculation of a PBEsol-optimized structure of ZnRePt, from Alexandria.

## Properties
Energy above the lowest structure with this stoichiometry ... 0 meV/atom
Space-group type ... F-43m, No. 216
VASP energy ... -51.0662 eV per atom
DFT formation energy ... 52 kJ per mole of atoms

Lattice parameters (Å, degrees): 4.1627 4.1627 4.1627 60.00 60.00 60.00
With the nearest neighbours (Å) after each atom.
Fractional positions:
Pt: 0.5000 0.5000 0.5000  4 Re 2.55
Re: 0.7500 0.7500 0.7500  4 Zn 2.55, 4 Pt 2.55
Zn: 0.0000 0.0000 0.0000  4 Re 2.55



6.
The following is a meta-GGA SCAN calculation of a PBEsol-optimized structure of Al2ZnPt, from Alexandria.

## Properties
Space-group type ... P4mm, No. 99
VASP energy ... -25.3991 eV per atom
DFT formation energy ... -58 kJ per mole of atoms

Lattice parameters (Å, degrees): 3.3728 3.3728 5.2093 90.00 90.00 90.00
With the nearest neighbours (Å) after each atom.
Fractional positions:
Zn: 0.5000 0.5000 0.7615  6 Al 2.56-2.65, 4 Pt 2.79
Al: 0.0000 0.0000 0.9854  2 Pt 2.59-2.62, 4 Zn 2.65, 4 Al 2.81
Al: 0.5000 0.5000 0.2707  2 Zn 2.56-2.65, 4 Pt 2.63, 4 Al 2.81
Pt: 0.0000 0.0000 0.4823  6 Al 2.59-2.63, 4 Zn 2.79



7.
The following is a meta-GGA SCAN calculation of a PBEsol-optimized structure of BiPbO2, from Alexandria.

## Properties
Space-group type ... R-3m, No. 166
VASP energy ... -42.4403 eV per atom
Formation energy without anion corrections ... -734 meV per atom

Lattice parameters (Å, degrees): 3.5298 3.5298 7.4488 76.29 76.29 60.00
With the nearest neighbours (Å) after each atom.
Fractional positions:
Pb: 0.5000 0.5000 0.5000  6 O 2.42
Bi: 0.0000 0.0000 0.0000  2 O 2.27
O: 0.8944 0.8944 0.3168  1 Bi 2.27, 3 Pb 2.42
O: 0.1056 0.1056 0.6832  1 Bi 2.27, 3 Pb 2.42



8.
The following is a meta-GGA SCAN calculation of a PBEsol-optimized structure of Ta3NiSe, from Alexandria.

## Properties
Energy above the lowest structure with this stoichiometry ... 0 meV/atom
Space-group type ... Pm-3m, No. 221
VASP energy ... -46.2402 eV per atom
Formation energy without anion corrections ... 960 meV per atom

Lattice parameters (Å, degrees): 4.5738 4.5738 4.5738 90.00 90.00 90.00
With the nearest neighbours (Å) after each atom.
Fractional positions:
Ni: 0.0000 0.0000 0.0000  6 Ta 2.29
Se: 0.5000 0.5000 0.5000  12 Ta 3.23
Ta: 0.0000 0.5000 0.0000  2 Ni 2.29
Ta: 0.0000 0.0000 0.5000  2 Ni 2.29
Ta: 0.5000 0.0000 0.0000  2 Ni 2.29



9.
The following is a meta-GGA SCAN calculation of a PBEsol-optimized structure of LiTiAg2, from Alexandria.

## Properties
Space-group type ... Fm-3m, No. 225
VASP energy ... -20.2588 eV per atom
DFT formation energy ... 3 kJ per mole of atoms

Lattice parameters (Å, degrees): 4.4731 4.4731 4.4731 60.00 60.00 60.00
With the nearest neighbours (Å) after each atom.
Fractional positions:
Li: 0.0000 0.0000 0.0000  8 Ag 2.74
Ag: 0.2500 0.2500 0.2500  4 Ti 2.74, 4 Li 2.74
Ag: 0.7500 0.7500 0.7500  4 Li 2.74, 4 Ti 2.74
Ti: 0.5000 0.5000 0.5000  8 Ag 2.74



10.
The following is a meta-GGA SCAN calculation of a PBEsol-optimized structure of ScAgAsS2, from Alexandria.

## Properties
Space-group type ... P4/mmm, No. 123
VASP energy ... -16.8682 eV per atom
Formation energy without anion corrections ... 142 meV per atom

Lattice parameters (Å, degrees): 4.7106 4.7106 5.2484 90.00 90.00 90.00
With the nearest neighbours (Å) after each atom.
Fractional positions:
Sc: 0.0000 0.0000 0.0000  4 S 2.36, 2 Ag 2.62
As: 0.5000 0.5000 0.5000  4 Ag 3.33, 8 S 3.53
S: 0.0000 0.5000 0.0000  2 Sc 2.36
S: 0.5000 0.0000 0.0000  2 Sc 2.36
Ag: 0.0000 0.0000 0.5000  2 Sc 2.62



11.
The following is a meta-GGA SCAN calculation of a PBEsol-optimized structure of Na2Li2NiP6H24O30, from Alexandria.

## Properties
Space-group type ... C2/c, No. 15
VASP energy ... -7.2208 eV per atom

Lattice parameters (Å, degrees): 10.1034 10.1034 14.7053 71.31 71.31 60.07
With the nearest neighbours (Å) after each atom.
Fractional positions:
Na: 0.1285 0.6389 0.1110  6 O 2.28-2.52
Na: 0.3611 0.8715 0.3890  6 O 2.28-2.52
Na: 0.8715 0.3611 0.8890  6 O 2.28-2.52
Na: 0.6389 0.1285 0.6110  6 O 2.28-2.52
Li: 0.7453 0.7662 0.2458  4 O 1.95-2.00
Li: 0.2338 0.2547 0.2542  4 O 1.95-2.00
Li: 0.2547 0.2338 0.7542  4 O 1.95-2.00
Li: 0.7662 0.7453 0.7458  4 O 1.95-2.00
Ni: 0.7457 0.2543 0.2500  6 O 2.04-2.07
Ni: 0.2543 0.7457 0.7500  6 O 2.04-2.07
P: 0.0929 0.2164 0.4647  4 O 1.49-1.61
P: 0.7836 0.9071 0.0353  4 O 1.49-1.61
P: 0.9071 0.7836 0.5353  4 O 1.49-1.61
P: 0.2164 0.0929 0.9647  4 O 1.49-1.61
P: 0.7019 0.7350 0.4595  4 O 1.49-1.61
P: 0.2650 0.2981 0.0405  4 O 1.49-1.61
P: 0.2981 0.2650 0.5405  4 O 1.49-1.61
P: 0.7350 0.7019 0.9595  4 O 1.49-1.61
P: 0.7669 0.4115 0.5387  4 O 1.49-1.63
P: 0.5885 0.2331 0.9613  4 O 1.49-1.63
P: 0.2331 0.5885 0.4613  4 O 1.49-1.63
P: 0.4115 0.7669 0.0387  4 O 1.49-1.63
H: 0.6026 0.6029 0.2993  1 O 1.00
H: 0.3971 0.3974 0.2007  1 O 1.00
H: 0.3974 0.3971 0.7007  1 O 1.00
H: 0.6029 0.6026 0.7993  1 O 1.00
H: 0.5186 0.7348 0.2197  1 O 1.00
H: 0.2652 0.4814 0.2803  1 O 1.00
H: 0.4814 0.2652 0.7803  1 O 1.00
H: 0.7348 0.5186 0.7197  1 O 1.00
H: 0.8900 0.5026 0.2032  1 O 1.01
H: 0.4974 0.1100 0.2968  1 O 1.01
H: 0.1100 0.4974 0.7968  1 O 1.01
H: 0.5026 0.8900 0.7032  1 O 1.01
H: 0.9584 0.4938 0.2868  1 O 0.99
H: 0.5062 0.0416 0.2132  1 O 0.99
H: 0.0416 0.5062 0.7132  1 O 0.99
H: 0.4938 0.9584 0.7868  1 O 0.99
H: 0.9988 0.8982 0.2072  1 O 0.99
H: 0.1018 0.0012 0.2928  1 O 0.99
H: 0.0012 0.1018 0.7928  1 O 0.99
H: 0.8982 0.9988 0.7072  1 O 0.99
H: 0.9767 0.7670 0.2903  1 O 0.98
H: 0.2330 0.0233 0.2097  1 O 0.98
H: 0.0233 0.2330 0.7097  1 O 0.98
H: 0.7670 0.9767 0.7903  1 O 0.98
H: 0.5470 0.4963 0.1489  1 O 1.02
H: 0.5037 0.4530 0.3511  1 O 1.02
H: 0.4530 0.5037 0.8511  1 O 1.02
H: 0.4963 0.5470 0.6489  1 O 1.02
H: 0.6207 0.3463 0.0969  1 O 1.02
H: 0.6537 0.3793 0.4031  1 O 1.02
H: 0.3793 0.6537 0.9031  1 O 1.02
H: 0.3463 0.6207 0.5969  1 O 1.02
H: 0.6897 0.0109 0.3490  1 O 1.01
H: 0.9891 0.3103 0.1510  1 O 1.01
H: 0.3103 0.9891 0.6510  1 O 1.01
H: 0.0109 0.6897 0.8490  1 O 1.01
H: 0.5660 0.1581 0.4020  1 O 1.02
H: 0.8419 0.4340 0.0980  1 O 1.02
H: 0.4340 0.8419 0.5980  1 O 1.02
H: 0.1581 0.5660 0.9020  1 O 1.02
H: 0.8052 0.0522 0.1485  1 O 1.00
H: 0.9478 0.1948 0.3515  1 O 1.00
H: 0.1948 0.9478 0.8515  1 O 1.00
H: 0.0522 0.8052 0.6485  1 O 1.00
H: 0.9335 0.1202 0.0991  1 O 1.02
H: 0.8798 0.0665 0.4009  1 O 1.02
H: 0.0665 0.8798 0.9009  1 O 1.02
H: 0.1202 0.9335 0.5991  1 O 1.02
O: 0.7608 0.8151 0.3613  1 P 1.51
O: 0.1849 0.2392 0.1387  1 P 1.51
O: 0.2392 0.1849 0.6387  1 P 1.51
O: 0.8151 0.7608 0.8613  1 P 1.51
O: 0.7756 0.5561 0.4506  2 P 1.61-1.63
O: 0.4439 0.2244 0.0494  2 P 1.61-1.63
O: 0.2244 0.4439 0.5494  2 P 1.61-1.63
O: 0.5561 0.7756 0.9506  2 P 1.61-1.63
O: 0.5704 0.7170 0.2726  2 H 1.00
O: 0.2830 0.4296 0.2274  2 H 1.00
O: 0.4296 0.2830 0.7274  2 H 1.00
O: 0.7170 0.5704 0.7726  2 H 1.00
O: 0.9208 0.5646 0.2269  2 H 0.99-1.01
O: 0.4354 0.0792 0.2731  2 H 0.99-1.01
O: 0.0792 0.4354 0.7731  2 H 0.99-1.01
O: 0.5646 0.9208 0.7269  2 H 0.99-1.01
O: 0.0448 0.7832 0.2275  2 H 0.98-0.99
O: 0.2168 0.9552 0.2725  2 H 0.98-0.99
O: 0.9552 0.2168 0.7725  2 H 0.98-0.99
O: 0.7832 0.0448 0.7275  2 H 0.98-0.99
O: 0.6840 0.4697 0.6323  1 P 1.49, 1 H 1.62
O: 0.5303 0.3160 0.8677  1 P 1.49, 1 H 1.62
O: 0.3160 0.5303 0.3677  1 P 1.49, 1 H 1.62
O: 0.4697 0.6840 0.1323  1 P 1.49, 1 H 1.62
O: 0.0512 0.2802 0.3645  1 P 1.51
O: 0.7198 0.9488 0.1355  1 P 1.51
O: 0.9488 0.7198 0.6355  1 P 1.51
O: 0.2802 0.0512 0.8645  1 P 1.51
O: 0.5301 0.7986 0.4969  1 P 1.49, 1 H 1.55
O: 0.2014 0.4699 0.0031  1 P 1.49, 1 H 1.55
O: 0.4699 0.2014 0.5031  1 P 1.49, 1 H 1.55
O: 0.7986 0.5301 0.9969  1 P 1.49, 1 H 1.55
O: 0.7123 0.3271 0.5035  1 P 1.50, 1 H 1.60
O: 0.6729 0.2877 0.9965  1 P 1.50, 1 H 1.60
O: 0.2877 0.6729 0.4965  1 P 1.50, 1 H 1.60
O: 0.3271 0.7123 0.0035  1 P 1.50, 1 H 1.60
O: 0.2166 0.2766 0.4586  2 P 1.61
O: 0.7234 0.7834 0.0414  2 P 1.61
O: 0.7834 0.7234 0.5414  2 P 1.61
O: 0.2766 0.2166 0.9586  2 P 1.61
O: 0.1573 0.0446 0.5016  1 P 1.49, 1 H 1.58
O: 0.9554 0.8427 0.9984  1 P 1.49, 1 H 1.58
O: 0.8427 0.9554 0.4984  1 P 1.49, 1 H 1.58
O: 0.0446 0.1573 0.0016  1 P 1.49, 1 H 1.58
O: 0.9492 0.3066 0.5448  2 P 1.61-1.62
O: 0.6934 0.0508 0.9552  2 P 1.61-1.62
O: 0.0508 0.6934 0.4552  2 P 1.61-1.62
O: 0.3066 0.9492 0.0448  2 P 1.61-1.62
O: 0.5822 0.3795 0.1626  2 H 1.02
O: 0.6205 0.4178 0.3374  2 H 1.02
O: 0.4178 0.6205 0.8374  2 H 1.02
O: 0.3795 0.5822 0.6626  2 H 1.02
O: 0.6250 0.1270 0.3355  2 H 1.01-1.02
O: 0.8730 0.3750 0.1645  2 H 1.01-1.02
O: 0.3750 0.8730 0.6645  2 H 1.01-1.02
O: 0.1270 0.6250 0.8355  2 H 1.01-1.02
O: 0.8684 0.0909 0.1635  2 H 1.00-1.02
O: 0.9091 0.1316 0.3365  2 H 1.00-1.02
O: 0.1316 0.9091 0.8365  2 H 1.00-1.02
O: 0.0909 0.8684 0.6635  2 H 1.00-1.02



12.
The following is a meta-GGA SCAN calculation of a PBEsol-optimized structure of MgCu2P2O8, from Alexandria.

## Properties
Space-group type ... P1, No. 1
VASP energy ... -10.2892 eV per atom
Formation energy without anion corrections ... -2134 meV per atom

Lattice parameters (Å, degrees): 4.8333 5.2843 6.2998 71.81 87.05 68.81
With the nearest neighbours (Å) after each atom.
Fractional positions:
Mg: 0.2830 0.2502 0.3097  5 O 2.00-2.08
Cu: 0.9974 0.0011 0.9981  4 O 1.90-2.01
Cu: 0.7233 0.7790 0.6843  4 O 1.94-1.99
P: 0.6399 0.6473 0.2250  4 O 1.52-1.58
P: 0.3613 0.3451 0.7794  4 O 1.53-1.56
O: 0.6109 0.8501 0.3663  1 P 1.56
O: 0.3887 0.1449 0.6363  1 P 1.56
O: 0.3288 0.6448 0.1729  1 P 1.56
O: 0.6687 0.3520 0.8317  1 P 1.55
O: 0.7668 0.7754 0.9974  1 P 1.58
O: 0.2346 0.2197 0.0037  1 P 1.56
O: 0.8473 0.3437 0.3416  1 P 1.52
O: 0.1492 0.6467 0.6537  1 P 1.53